Record 1
# PBE CuPd2Pt, relaxed
# **Calculated volume**: 58.6 Å³ per cell
# **Offset from the most stable computed form**: 28.9 meV per atom
data_CuPd2Pt
_chemical_formula_sum 'Cu1 Pd2 Pt1'
_cell_length_a 2.778
_cell_length_b 2.778
_cell_length_c 7.586
_cell_angle_alpha 90.00
_cell_angle_beta 90.00
_cell_angle_gamma 90.00
_symmetry_space_group_name_H-M 'P 4/m m m'
_symmetry_Int_Tables_number 123
_symmetry_space_group_name_Hall '-P 4 2'
loop_
_atom_site_label
_atom_site_fract_x
_atom_site_fract_y
_atom_site_fract_z
Cu1 0.000 0.000 0.000
Pd1 0.500 0.500 0.234
Pt1 0.000 0.000 0.500

***

Record 2
# PBE Ac2SeI3, relaxed
# **Formation energy without anion corrections**: -1559 meV per atom
# **Calculated volume**: 561.9 Å³ per cell
# **Offset from the most stable computed form**: 12.3 meV per atom
data_Ac2SeI3
_chemical_formula_sum 'Ac4 Se2 I6'
_cell_length_a 15.566
_cell_length_b 4.428
_cell_length_c 8.302
_cell_angle_alpha 90.00
_cell_angle_beta 100.82
_cell_angle_gamma 90.00
_symmetry_space_group_name_H-M 'C 1 2/m 1'
_symmetry_Int_Tables_number 12
loop_
_symmetry_equiv_pos_as_xyz
'x,y,z'
'-x,-y,-z'
'-x,y,-z'
'x,-y,z'
'x+1/2,y+1/2,z'
'-x+1/2,-y+1/2,-z'
'-x+1/2,y+1/2,-z'
'x+1/2,-y+1/2,z'
loop_
_atom_site_label
_atom_site_fract_x
_atom_site_fract_y
_atom_site_fract_z
Ac1 0.107 0.000 0.377
Se1 0.000 0.500 0.500
I1 0.000 0.000 0.000
I2 0.250 0.000 0.739

***

Record 3
# PBE TaAlMo2H, relaxed
# **Calculated volume**: 67.3 Å³ per cell
# **E_tot**: -8.161 eV per atom
data_TaAlMo2H
_chemical_formula_sum 'Ta1 Al1 Mo2 H1'
_cell_length_a 4.090
_cell_length_b 4.090
_cell_length_c 4.025
_cell_angle_alpha 90.00
_cell_angle_beta 90.00
_cell_angle_gamma 90.00
_symmetry_space_group_name_H-M 'P 4/m m m'
_symmetry_Int_Tables_number 123
_symmetry_space_group_name_Hall '-P 4 2'
loop_
_atom_site_label
_atom_site_fract_x
_atom_site_fract_y
_atom_site_fract_z
Ta1 0.000 0.000 0.000
Al1 0.500 0.500 0.000
Mo1 0.000 0.500 0.500
H1 0.000 0.000 0.500